Record 1
Density functional theory data (GGA-PBE) for crystalline K3Rb2Tl4 at its relaxed geometry.

## Properties
Total DFT energy (no corrections) = -15.2 eV/cell
N(E_F) = 5.1 states/eV per cell
Density = 4.7 g/cm3
Space group = P-1
Formation energy from the elements = -0.06 eV per atom
Calculated volume = 392.4 Å³/f.u.

extended XYZ file:
```
9
Lattice="-1.049 -0.185 -6.237 2.344 -6.222 -3.315 -6.826 -7.778 -1.295" Properties=species:S:1:pos:R:3 pbc="T T T"
Rb -2.742 -10.503 -5.146
K -4.985 -7.317 -4.828
Tl 0.120 -3.068 -3.047
Tl -1.539 -5.747 -2.691
Tl -5.651 -11.117 -7.800
Rb -2.789 -3.682 -5.701
K -0.545 -6.867 -6.019
Tl -3.992 -8.438 -8.156
K 0.000 0.000 0.000
```

Record 2
Density functional theory data (GGA-PBE) for crystalline Tb2AuI at its relaxed geometry.

## Properties
Total DFT energy (no corrections) = -17.3 eV/cell
N(E_F) = 1.4 states/eV per cell
Density = 8.9 g/cm3
Space group = R3m
Raw formation energy = -0.808 eV per atom
Calculated volume = 119.5 Å³/f.u.
ΔE to the lowest computed polymorph = 9 meV per atom

extended XYZ file:
```
4
Lattice="-3.689 0.862 -1.613 -1.922 -2.784 -2.348 -5.480 -3.724 5.287" Properties=species:S:1:pos:R:3 pbc="T T T"
I -5.557 -2.832 0.684
Tb -4.749 -3.099 3.949
Au -9.210 -4.996 2.627
Tb -2.600 -1.264 0.016
```

Record 3
Density functional theory data (GGA-PBE) for crystalline CePu6Pa12 at its relaxed geometry.

## Properties
Total DFT energy (no corrections) = -200.7 eV/cell
N(E_F) = 49.9 states/eV per cell
Density = 15.3 g/cm3
Space group = R-3m
Formation energy from the elements = 0.27 eV per atom
Calculated volume = 475.2 Å³/f.u.

extended XYZ file:
```
19
Lattice="-7.433 -3.486 -0.350 5.371 -5.963 -1.769 1.238 1.877 7.904" Properties=species:S:1:pos:R:3 pbc="T T T"
Pa 1.579 -2.344 2.575
Pa -3.714 -5.828 -0.251
Pa -1.986 -0.800 6.576
Pa -2.403 -5.228 3.210
Pa 0.927 -5.872 2.842
Pu 0.343 -1.178 5.156
Pa -0.676 -3.739 0.428
Pu 2.227 -4.751 0.748
Pa -1.750 -1.700 2.943
Pu -1.167 -6.394 0.629
Pu -3.609 -3.622 1.394
Pa 4.464 -4.729 2.352
Pa 1.162 -6.771 -0.791
Pa 2.891 -1.743 6.036
Pa -5.288 -2.843 3.433
Pa -0.148 -3.833 5.357
Ce 0.000 0.000 0.000
Pu 2.785 -3.949 4.391
Pu -3.051 -2.821 5.037
```

Record 4
Density functional theory data (GGA-PBE) for crystalline Sc3Si3Os at its relaxed geometry.

## Properties
Total DFT energy (no corrections) = -104.5 eV/cell
N(E_F) = 8.7 states/eV per cell
Density = 5.5 g/cm3
Space group = C2/m
Raw formation energy = -0.822 eV per atom
Calculated volume = 123.0 Å³/f.u.

extended XYZ file:
```
14
Lattice="-2.459 3.180 -0.544 -5.221 -1.442 0.044 -2.035 3.016 11.703" Properties=species:S:1:pos:R:3 pbc="T T T"
Os -6.598 1.238 6.812
Sc -7.291 3.608 8.676
Sc -5.387 1.116 0.625
Si -2.454 2.219 8.938
Si -7.261 2.535 2.266
Sc -5.394 1.710 4.127
Si -6.559 1.953 10.820
Si -6.973 3.385 5.933
Sc -4.328 3.637 10.578
Os -3.116 3.516 4.392
Si -3.156 2.800 0.384
Si -2.741 1.369 5.270
Sc -4.320 3.044 7.076
Sc -2.423 1.146 2.527
```

Record 5
Density functional theory data (GGA-PBE) for crystalline Ag2Hg2Rh at its relaxed geometry.

## Properties
Total DFT energy (no corrections) = -23.6 eV/cell
N(E_F) = 4.5 states/eV per cell
Density = 12.3 g/cm3
Space group = P4/mbm
Formation energy from the elements = 0.37 eV per atom
Calculated volume = 97.5 Å³/f.u.

extended XYZ file:
```
10
Lattice="-2.202 -4.514 5.510 2.303 -5.909 -3.920 3.172 0.256 1.477" Properties=species:S:1:pos:R:3 pbc="T T T"
Ag -0.459 -7.651 2.313
Hg 2.016 -7.798 1.192
Ag 1.189 -6.798 -1.374
Hg 1.258 -2.368 1.876
Rh 0.051 -5.211 0.795
Ag 0.560 -2.771 -0.722
Hg 0.518 -5.552 4.016
Hg 2.755 -4.614 -0.948
Ag -1.088 -3.625 2.964
Rh 0.000 0.000 0.000
```

Record 6
Density functional theory data (GGA-PBE) for crystalline CeHo2Ru at its relaxed geometry.

## Properties
Total DFT energy (no corrections) = -24.0 eV/cell
N(E_F) = 8.2 states/eV per cell
Density = 9.1 g/cm3
Space group = R-3m
Formation energy from the elements = 0.10 eV per atom
Calculated volume = 104.0 Å³/f.u.
ΔE to the lowest computed polymorph = 426 meV per atom

extended XYZ file:
```
4
Lattice="3.361 0.000 0.000 1.680 2.911 0.000 1.680 0.970 10.633" Properties=species:S:1:pos:R:3 pbc="T T T"
Ce 0.000 0.000 0.000
Ho 5.041 2.911 3.324
Ru 3.361 1.940 5.317
Ho 1.680 0.970 7.309
```

Record 7
Density functional theory data (GGA-PBE) for crystalline Cs3Al2Bi4 at its relaxed geometry.

## Properties
Total DFT energy (no corrections) = -55.1 eV/cell
N(E_F) = 9.8 states/eV per cell
Density = 5.2 g/cm3
Space group = C2/c
Formation energy from the elements = -0.22 eV per atom
Calculated volume = 411.1 Å³/f.u.

extended XYZ file:
```
18
Lattice="-1.883 6.758 -4.633 -0.641 -4.120 -9.309 -10.001 -1.359 -1.476" Properties=species:S:1:pos:R:3 pbc="T T T"
Bi -8.190 1.549 -12.044
Al -2.025 -1.805 -4.031
Cs -1.580 0.749 -9.639
Cs -10.946 0.530 -5.779
Bi -1.112 -2.323 -6.664
Al -10.501 3.084 -11.387
Bi -11.413 3.601 -8.754
Bi -8.851 -1.357 -8.386
Bi -4.336 -0.271 -3.374
Al -7.454 -0.916 -10.832
Cs -4.877 1.841 -13.963
Cs -5.027 -1.276 -7.191
Cs -7.498 2.555 -8.227
Bi -4.709 -1.477 -11.260
Al -5.072 2.195 -4.586
Cs -7.649 -0.562 -1.455
Bi -3.675 2.636 -7.032
Bi -7.817 2.756 -4.158
```

Record 8
Density functional theory data (GGA-PBE) for crystalline PmHgIrPd at its relaxed geometry.

## Properties
Total DFT energy (no corrections) = -20.5 eV/cell
N(E_F) = 1.1 states/eV per cell
Density = 13.4 g/cm3
Space group = F-43m
Formation energy from the elements = -0.36 eV per atom
Calculated volume = 79.8 Å³/f.u.

extended XYZ file:
```
4
Lattice="-4.553 1.240 1.040 -3.597 -3.129 -0.789 -2.273 -2.061 3.734" Properties=species:S:1:pos:R:3 pbc="T T T"
Ir 0.000 0.000 0.000
Pm -7.817 -2.962 2.989
Pd -5.211 -1.975 1.992
Hg -2.606 -0.987 0.996
```

Record 9
Density functional theory data (GGA-PBE) for crystalline Pu2Tl2Cd15 at its relaxed geometry.

## Properties
Total DFT energy (no corrections) = -47.2 eV/cell
N(E_F) = 34.2 states/eV per cell
Density = 9.4 g/cm3
Space group = R-3m
Formation energy from the elements = -0.01 eV per atom
Calculated volume = 457.8 Å³/f.u.

extended XYZ file:
```
19
Lattice="-5.980 -2.657 4.160 3.481 0.426 6.916 -2.839 6.936 1.989" Properties=species:S:1:pos:R:3 pbc="T T T"
Cd -1.420 3.468 0.995
Cd -2.098 -0.236 7.468
Cd -2.990 -1.328 2.080
Cd -0.621 4.276 6.447
Tl -4.788 4.220 11.719
Cd -3.010 -1.689 5.025
Cd 1.497 2.469 5.369
Cd -5.071 2.826 5.151
Cd -0.267 1.879 7.914
Cd -4.994 0.354 3.479
Pu -3.570 3.147 8.738
Cd 0.511 -0.542 6.051
Cd -3.825 3.925 2.671
Cd -4.717 0.429 6.618
Tl -0.550 0.485 1.347
Cd 1.740 0.213 3.458
Cd -3.240 4.941 5.597
Cd -0.856 4.892 3.536
Pu -1.768 1.558 4.327
```

Record 10
Density functional theory data (GGA-PBE) for crystalline Re2SiAg at its relaxed geometry.

## Properties
Total DFT energy (no corrections) = -31.0 eV/cell
N(E_F) = 2.3 states/eV per cell
Density = 14.0 g/cm3
Space group = F-43m
Raw formation energy = 0.548 eV per atom
Calculated volume = 60.2 Å³/f.u.

extended XYZ file:
```
4
Lattice="4.398 0.000 0.000 2.199 3.809 0.000 2.199 1.270 3.591" Properties=species:S:1:pos:R:3 pbc="T T T"
Re 0.000 0.000 0.000
Ag 4.398 2.539 1.796
Re 6.598 3.809 2.693
Si 2.199 1.270 0.898
```

Record 11
Density functional theory data (GGA-PBE) for crystalline TmNpO6 at its relaxed geometry.

## Properties
Total DFT energy (no corrections) = -66.1 eV/cell
Density = 7.8 g/cm3
Space group = P-1
Raw formation energy = -2.366 eV per atom
Calculated volume = 107.1 Å³/f.u.

extended XYZ file:
```
8
Lattice="-5.055 -1.360 0.445 1.658 -2.548 2.947 -1.275 1.583 5.199" Properties=species:S:1:pos:R:3 pbc="T T T"
O -3.214 -2.213 4.946
O -4.160 0.478 4.962
O -1.151 -0.578 6.193
O -1.457 -0.112 3.645
Tm 0.000 0.000 0.000
O -0.512 -2.802 3.629
O -3.521 -1.746 2.398
Np -3.165 0.112 2.822
```

Record 12
Density functional theory data (GGA-PBE) for crystalline Fe2TeP at its relaxed geometry.

## Properties
Total DFT energy (no corrections) = -25.5 eV/cell
N(E_F) = 2.8 states/eV per cell
Density = 7.2 g/cm3
Space group = Imm2
Raw formation energy = 0.006 eV per atom
Calculated volume = 62.3 Å³/f.u.
ΔE to the lowest computed polymorph = 97 meV per atom

extended XYZ file:
```
4
Lattice="6.753 0.012 0.017 5.300 4.185 -0.017 -6.045 -2.044 2.208" Properties=species:S:1:pos:R:3 pbc="T T T"
Te 3.086 2.274 1.096
Fe 12.010 4.182 0.000
Fe 2.429 -0.293 1.112
P 6.560 2.285 0.000
```